Entry 1:
TlCd3Sn2 | PBE-GGA | relaxed

Values from the calculation:
Density of states at the Fermi level (states/eV/atom): 0.3437
Offset from the most stable computed form (kJ/mol of atoms): 2.5
DFT formation energy (eV/atom): 0.0665
VASP energy (eV/cell): -25.4

Cell: 7.130 7.130 6.582 Å, 90.00 90.00 87.75°
Sites, in units of the cell vectors:
1 Tl 0.182 0.818 0.750
2 Tl 0.818 0.182 0.250
3 Cd 0.092 0.617 0.250
4 Cd 0.383 0.908 0.250
5 Cd 0.499 0.501 0.750
6 Cd 0.501 0.499 0.250
7 Cd 0.617 0.092 0.750
8 Cd 0.908 0.383 0.750
9 Sn 0.245 0.245 0.000
10 Sn 0.245 0.245 0.500
11 Sn 0.755 0.755 0.000
12 Sn 0.755 0.755 0.500

=====

Entry 2:
TlCd2Sn | PBE-GGA | relaxed

Values from the calculation:
Density of states at the Fermi level (states/eV/atom): 0.4705
Offset from the most stable computed form (kJ/mol of atoms): 0.4
DFT formation energy (eV/atom): 0.0398
VASP energy (eV/cell): -16.1

Cell: 6.578 6.578 7.346 Å, 90.00 90.00 136.11°
Sites, in units of the cell vectors:
1 Tl 0.070 0.930 0.750
2 Tl 0.930 0.070 0.250
3 Cd 0.381 0.619 0.545
4 Cd 0.381 0.619 0.955
5 Cd 0.619 0.381 0.045
6 Cd 0.619 0.381 0.455
7 Sn 0.211 0.789 0.250
8 Sn 0.789 0.211 0.750

=====

Entry 3:
TlCdSn | PBE-GGA | relaxed

Values from the calculation:
Density of states at the Fermi level (states/eV/atom): 0.4162
Offset from the most stable computed form (kJ/mol of atoms): 3.0
DFT formation energy (eV/atom): 0.0571
VASP energy (eV/cell): -7.1

Cell: 3.418 3.418 8.118 Å, 90.00 90.00 120.00°
Sites, in units of the cell vectors:
1 Tl 0.000 0.000 0.000
2 Cd 0.667 0.333 0.332
3 Sn 0.333 0.667 0.651

=====

Entry 4:
Tl3Cd4Sn4 | PBE-GGA | relaxed

Values from the calculation:
Density of states at the Fermi level (states/eV/atom): 0.3192
Offset from the most stable computed form (kJ/mol of atoms): 0.0
DFT formation energy (eV/atom): 0.0359
VASP energy (eV/cell): -26.4

Cell: 16.927 16.927 3.315 Å, 95.54 95.54 158.30°
Sites, in units of the cell vectors:
1 Tl 0.000 0.000 0.000
2 Tl 0.360 0.640 0.500
3 Tl 0.640 0.360 0.500
4 Cd 0.092 0.908 0.500
5 Cd 0.268 0.732 0.000
6 Cd 0.732 0.268 0.000
7 Cd 0.908 0.092 0.500
8 Sn 0.185 0.815 0.500
9 Sn 0.453 0.547 0.000
10 Sn 0.547 0.453 0.000
11 Sn 0.815 0.185 0.500

=====

Entry 5:
TlCdSn2 | PBE-GGA | relaxed

Values from the calculation:
Density of states at the Fermi level (states/eV/atom): 0.5879
Offset from the most stable computed form (kJ/mol of atoms): 3.5
DFT formation energy (eV/atom): 0.0902
VASP energy (eV/cell): -21.9

Cell: 11.911 11.911 11.911 Å, 158.44 158.44 30.68°
Sites, in units of the cell vectors:
1 Tl 0.000 0.000 0.000
2 Tl 0.750 0.250 0.500
3 Cd 0.250 0.750 0.500
4 Cd 0.500 0.500 0.000
5 Sn 0.130 0.625 0.005
6 Sn 0.375 0.380 0.505
7 Sn 0.620 0.125 0.995
8 Sn 0.875 0.870 0.495

=====

Entry 6:
Tl3Cd4Sn2 | PBE-GGA | relaxed

Values from the calculation:
Density of states at the Fermi level (states/eV/atom): 0.3925
Offset from the most stable computed form (kJ/mol of atoms): 1.5
DFT formation energy (eV/atom): 0.0645
VASP energy (eV/cell): -18.2

Cell: 6.799 6.799 9.690 Å, 115.62 115.62 39.96°
Sites, in units of the cell vectors:
1 Tl 0.000 0.000 0.000
2 Tl 0.362 0.362 0.305
3 Tl 0.638 0.638 0.695
4 Cd 0.047 0.047 0.382
5 Cd 0.304 0.304 0.951
6 Cd 0.696 0.696 0.049
7 Cd 0.953 0.953 0.618
8 Sn 0.319 0.319 0.646
9 Sn 0.681 0.681 0.354

=====

Entry 7:
Tl4Cd2Sn3 | PBE-GGA | relaxed

Values from the calculation:
Density of states at the Fermi level (states/eV/atom): 0.3733
DFT formation energy (eV/atom): 0.0407
VASP energy (eV/cell): -45.9

Cell: 9.333 9.333 6.334 Å, 100.90 100.90 96.70°
Sites, in units of the cell vectors:
1 Tl 0.095 0.702 0.966
2 Tl 0.174 0.543 0.435
3 Tl 0.298 0.905 0.534
4 Tl 0.457 0.826 0.065
5 Tl 0.543 0.174 0.935
6 Tl 0.702 0.095 0.466
7 Tl 0.826 0.457 0.565
8 Tl 0.905 0.298 0.034
9 Cd 0.216 0.387 0.904
10 Cd 0.387 0.216 0.404
11 Cd 0.613 0.784 0.596
12 Cd 0.784 0.613 0.096
13 Sn 0.061 0.160 0.477
14 Sn 0.160 0.061 0.977
15 Sn 0.496 0.504 0.750
16 Sn 0.504 0.496 0.250
17 Sn 0.840 0.939 0.023
18 Sn 0.939 0.840 0.523

=====

Entry 8:
Tl6Cd5Sn | PBE-GGA | relaxed

Values from the calculation:
Density of states at the Fermi level (states/eV/atom): 0.4295
DFT formation energy (eV/atom): 0.0620
VASP energy (eV/cell): -22.0

Cell: 8.973 8.973 4.800 Å, 105.48 105.48 106.62°
Sites, in units of the cell vectors:
1 Tl 0.081 0.414 0.748
2 Tl 0.238 0.238 0.239
3 Tl 0.414 0.081 0.748
4 Tl 0.586 0.919 0.252
5 Tl 0.762 0.762 0.761
6 Tl 0.919 0.586 0.252
7 Cd 0.000 0.000 0.500
8 Cd 0.174 0.826 0.000
9 Cd 0.338 0.662 0.500
10 Cd 0.662 0.338 0.500
11 Cd 0.826 0.174 0.000
12 Sn 0.500 0.500 0.000

=====

Entry 9:
TlCd12Sn6 | PBE-GGA | relaxed

Values from the calculation:
Density of states at the Fermi level (states/eV/atom): 0.2582
DFT formation energy (eV/atom): 0.0805
VASP energy (eV/cell): -35.8

Cell: 8.518 8.518 8.518 Å, 106.82 106.82 106.82°
Sites, in units of the cell vectors:
1 Tl 0.000 0.000 0.000
2 Cd 0.105 0.500 0.895
3 Cd 0.105 0.895 0.500
4 Cd 0.146 0.368 0.368
5 Cd 0.368 0.146 0.368
6 Cd 0.368 0.368 0.146
7 Cd 0.500 0.105 0.895
8 Cd 0.500 0.895 0.105
9 Cd 0.632 0.632 0.854
10 Cd 0.632 0.854 0.632
11 Cd 0.854 0.632 0.632
12 Cd 0.895 0.105 0.500
13 Cd 0.895 0.500 0.105
14 Sn 0.256 0.698 0.698
15 Sn 0.302 0.302 0.744
16 Sn 0.302 0.744 0.302
17 Sn 0.698 0.256 0.698
18 Sn 0.698 0.698 0.256
19 Sn 0.744 0.302 0.302

=====

Entry 10:
Tl2CdSn | PBE-GGA | relaxed

Values from the calculation:
Density of states at the Fermi level (states/eV/atom): 0.3602
Offset from the most stable computed form (kJ/mol of atoms): 3.3
DFT formation energy (eV/atom): 0.0569
VASP energy (eV/cell): -9.4

Cell: 6.163 6.163 4.602 Å, 111.59 111.59 116.23°
Sites, in units of the cell vectors:
1 Tl 0.249 0.751 0.000
2 Tl 0.751 0.249 0.000
3 Cd 0.000 0.000 0.500
4 Sn 0.500 0.500 0.500

=====

Entry 11:
Tl3Cd4Sn2 | PBE-GGA | relaxed

Values from the calculation:
Density of states at the Fermi level (states/eV/atom): 0.3933
Offset from the most stable computed form (kJ/mol of atoms): 0.0
DFT formation energy (eV/atom): 0.0488
VASP energy (eV/cell): -18.3

Cell: 4.499 7.358 8.007 Å, 105.97 105.80 90.17°
Sites, in units of the cell vectors:
1 Tl 0.000 0.000 0.000
2 Tl 0.443 0.654 0.883
3 Tl 0.557 0.346 0.117
4 Cd 0.122 0.692 0.244
5 Cd 0.327 0.996 0.656
6 Cd 0.673 0.004 0.344
7 Cd 0.878 0.308 0.756
8 Sn 0.226 0.337 0.453
9 Sn 0.774 0.663 0.547